(i)
Material: YTmIn2Ni4
Method: DFT, PBE-GGA
State: relaxed

## Properties
SG = P-6m2, No. 187

Geometry as extended XYZ:
```
8
Lattice="4.3729 0.0000 0.0000 -2.1864 3.7870 0.0000 0.0000 0.0000 8.4237" Properties=species:S:1:pos:R:3 pbc="T T T"
In 2.1864 1.2623 2.0801
In 2.1864 1.2623 6.3436
Ni 0.0000 2.5247 1.3300
Ni 0.0000 0.0000 2.7980
Ni 0.0000 0.0000 5.6257
Ni 0.0000 2.5247 7.0937
Tm 0.0000 0.0000 0.0000
Y 0.0000 2.5247 4.2118
```

=====

(ii)
Material: YTmIn2Ni4
Method: DFT, PBE-GGA
State: relaxed

## Properties
SG = Pmm2, No. 25

Geometry as extended XYZ:
```
8
Lattice="3.9989 0.0000 0.0000 0.0000 5.0597 0.0000 0.0000 0.0000 6.9759" Properties=species:S:1:pos:R:3 pbc="T T T"
In 1.9994 2.5298 2.4636
In 1.9994 0.0000 4.5019
Ni 1.9994 1.2565 0.0147
Ni 1.9994 3.8032 0.0147
Ni 0.0000 2.5298 0.7797
Ni 0.0000 0.0000 6.2172
Tm 0.0000 0.0000 1.8550
Y 0.0000 2.5298 5.0806
```

=====

It turns out (ii) is the most stable, with the second structure 4.7 kJ/mol of atoms higher.

=====

(i)
Material: TmZnInNi
Method: DFT, PBE-GGA
State: relaxed

## Properties
SG = Amm2, No. 38

Geometry as extended XYZ:
```
8
Lattice="7.4449 0.0000 0.0000 0.0000 2.0762 4.7972 0.0000 -2.0762 4.7972" Properties=species:S:1:pos:R:3 pbc="T T T"
In 2.2133 0.0000 1.3673
In 5.2316 0.0000 1.3673
Ni 0.0000 0.0000 2.7407
Ni 3.7225 0.0000 6.9737
Tm 3.7225 0.0000 4.1449
Tm 0.0000 0.0000 5.4142
Zn 1.4160 0.0000 8.1846
Zn 6.0289 0.0000 8.1846
```

=====

(ii)
Material: TmZnInNi
Method: DFT, PBE-GGA
State: relaxed

## Properties
SG = C2/m, No. 12

Geometry as extended XYZ:
```
8
Lattice="-3.4187 -3.9733 0.5561 0.5608 -5.2161 0.5113 0.3696 0.9202 7.3042" Properties=species:S:1:pos:R:3 pbc="T T T"
In -0.2476 -0.9151 3.3915
In -2.2407 -7.3541 4.9802
Ni -1.9726 -6.4045 2.4503
Ni -0.5157 -1.8647 5.9214
Tm -1.1485 -3.7522 2.0782
Tm -1.3399 -4.5170 6.2935
Zn -0.3839 -1.2489 0.5462
Zn -2.1044 -7.0203 7.8255
```

=====

It turns out (ii) is the most stable, with the second structure 0.6 kJ/mol of atoms higher.

=====

(i)
Material: PmInPO
Method: DFT, PBE-GGA
State: relaxed

## Properties
SG = P4/nmm, No. 129

Geometry as extended XYZ:
```
8
Lattice="-1.8271 -3.2276 2.3830 -1.7901 -1.6876 -3.6582 6.7757 -4.6872 -1.1533" Properties=species:S:1:pos:R:3 pbc="T T T"
In 3.3879 -2.3436 -0.5766
In 1.5793 -4.8012 -1.2142
O 0.0000 0.0000 0.0000
O -1.8086 -2.4576 -0.6376
P 1.2114 -3.0837 0.8298
P 3.7558 -4.0610 -2.6207
Pm -0.1537 -1.3566 -1.9553
Pm 5.1209 -5.7881 0.1644
```

=====

(ii)
Material: PmInPO
Method: DFT, PBE-GGA
State: relaxed

## Properties
SG = P4/nmm, No. 129

Geometry as extended XYZ:
```
8
Lattice="5.7823 0.0000 0.0000 0.0000 5.7823 0.0000 0.0000 0.0000 4.9815" Properties=species:S:1:pos:R:3 pbc="T T T"
In 0.0000 2.8911 0.0356
In 2.8911 0.0000 4.9459
O 0.0000 0.0000 0.0000
O 2.8911 2.8911 0.0000
P 2.8911 0.0000 2.4512
P 0.0000 2.8911 2.5302
Pm 0.0000 0.0000 2.4907
Pm 2.8911 2.8911 2.4907
```

=====

(iii)
Material: PmInPO
Method: DFT, PBE-GGA
State: relaxed

## Properties
SG = Pmc2_1, No. 26

Geometry as extended XYZ:
```
8
Lattice="-0.2759 -3.3397 2.5000 5.0204 -3.5673 -4.2112 4.3601 2.1607 3.3676" Properties=species:S:1:pos:R:3 pbc="T T T"
In 5.1489 -2.7984 0.3260
In 6.1335 -0.8686 3.0125
O 3.1928 -1.9456 1.2492
O 7.1989 -2.1628 1.4013
P 5.9352 -1.9858 -1.9976
P 4.9656 1.3326 2.3282
Pm 2.8510 0.2475 0.6453
Pm 8.1191 -0.8663 -0.2612
```

=====

(iv)
Material: PmInPO
Method: DFT, PBE-GGA
State: relaxed

## Properties
SG = Pmc2_1, No. 26

Geometry as extended XYZ:
```
8
Lattice="5.0487 0.0000 0.0000 0.0000 5.0900 0.0000 0.0000 0.0000 6.4381" Properties=species:S:1:pos:R:3 pbc="T T T"
In 0.0000 1.3246 2.7608
In 0.0000 3.7655 5.9799
O 2.5244 1.6243 2.7365
O 2.5244 3.4658 5.9556
P 0.0000 3.8873 2.1195
P 0.0000 1.2028 5.3386
Pm 2.5244 1.4076 0.4566
Pm 2.5244 3.6824 3.6756
```

=====

It turns out (i) is the most stable, with the second structure 10.7 kJ/mol of atoms higher.

=====

(i)
Material: InRePO
Method: DFT, PBE-GGA
State: relaxed

## Properties
SG = Pmc2_1, No. 26

Geometry as extended XYZ:
```
8
Lattice="3.8138 0.0000 0.0000 0.0000 7.7531 0.0000 0.0000 0.0000 4.8220" Properties=species:S:1:pos:R:3 pbc="T T T"
In 0.0000 4.5647 2.3206
In 0.0000 3.1885 4.7316
O 0.0000 0.9632 2.0569
O 0.0000 6.7899 4.4679
P 1.9069 6.3235 2.0307
P 1.9069 1.4296 4.4417
Re 1.9069 0.9026 2.0495
Re 1.9069 6.8505 4.4605
```

=====

(ii)
Material: InRePO
Method: DFT, PBE-GGA
State: relaxed

## Properties
SG = Pmc2_1, No. 26

Geometry as extended XYZ:
```
8
Lattice="3.0308 0.0000 0.0000 0.0000 7.1129 0.0000 0.0000 0.0000 5.8172" Properties=species:S:1:pos:R:3 pbc="T T T"
In 0.0000 3.9766 2.6324
In 0.0000 3.1363 5.5410
O 1.5154 5.6462 2.0612
O 1.5154 1.4666 4.9698
P 0.0000 1.2406 2.0391
P 0.0000 5.8722 4.9477
Re 1.5154 7.0421 0.5621
Re 1.5154 0.0708 3.4708
```

=====

(iii)
Material: InRePO
Method: DFT, PBE-GGA
State: relaxed

## Properties
SG = P4/nmm, No. 129

Geometry as extended XYZ:
```
8
Lattice="-1.6287 3.3995 1.2826 -3.5857 -1.2769 -1.1689 -1.1151 -3.1044 6.8120" Properties=species:S:1:pos:R:3 pbc="T T T"
In -0.1482 -0.4127 0.9055
In -3.5741 -1.6304 5.9634
O -0.8143 1.6997 0.6413
O -1.7929 -0.6384 -0.5844
P -2.9638 0.0686 2.2352
P -0.7585 -2.1117 4.6336
Re -1.3719 0.1476 4.0473
Re -2.3504 -2.1906 2.8215
```

=====

It turns out (iii) is the most stable, with the second structure 1.3 kJ/mol of atoms higher.

=====

(i)
Material: InTcPO
Method: DFT, PBE-GGA
State: relaxed

## Properties
SG = Pmc2_1, No. 26

Geometry as extended XYZ:
```
8
Lattice="3.8433 0.0000 0.0000 0.0000 5.9055 0.0000 0.0000 0.0000 6.0587" Properties=species:S:1:pos:R:3 pbc="T T T"
In 1.9217 4.4981 0.3312
In 1.9217 1.4075 3.3606
O 1.9217 5.0692 2.8101
O 1.9217 0.8364 5.8394
P 0.0000 2.5386 1.6942
P 0.0000 3.3670 4.7235
Tc 0.0000 4.5150 2.7620
Tc 0.0000 1.3906 5.7913
```

=====

(ii)
Material: InTcPO
Method: DFT, PBE-GGA
State: relaxed

## Properties
SG = Pmc2_1, No. 26

Geometry as extended XYZ:
```
8
Lattice="3.1090 0.0000 0.0000 0.0000 6.8988 0.0000 0.0000 0.0000 5.8175" Properties=species:S:1:pos:R:3 pbc="T T T"
In 0.0000 0.4607 2.6388
In 0.0000 6.4381 5.5476
O 1.5545 1.9464 2.0469
O 1.5545 4.9525 4.9556
P 0.0000 4.6410 2.0603
P 0.0000 2.2579 4.9690
Tc 1.5545 3.3717 0.5492
Tc 1.5545 3.5271 3.4579
```

=====

(iii)
Material: InTcPO
Method: DFT, PBE-GGA
State: relaxed

## Properties
SG = P4/nmm, No. 129

Geometry as extended XYZ:
```
8
Lattice="-3.1623 -1.2282 2.4375 2.6519 -2.2653 2.2991 1.3504 6.8744 5.2159" Properties=species:S:1:pos:R:3 pbc="T T T"
In -0.9060 2.8231 3.8267
In 2.0011 2.3045 3.7575
O -1.5812 -0.6141 1.2187
O 1.3260 -1.1327 1.1495
P 0.1346 0.2378 3.8740
P 0.9605 4.8898 3.7101
Tc -0.1973 -1.4519 2.5920
Tc 1.2924 6.5795 4.9921
```

=====

It turns out (ii) is the most stable, with the second structure 23.1 kJ/mol of atoms higher.

=====

(i)
Material: TmInPO
Method: DFT, PBE-GGA
State: relaxed

## Properties
SG = P4/mmm, No. 123

Geometry as extended XYZ:
```
8
Lattice="-4.5842 2.5746 -1.5837 0.4399 -2.2781 -4.9768 -2.7015 -3.8679 1.5318" Properties=species:S:1:pos:R:3 pbc="T T T"
In -2.2924 1.2869 -0.7917
In -2.4813 -5.0066 -0.9568
O 0.0000 0.0000 0.0000
O -2.0722 0.1482 -3.2802
P -1.1290 -3.0704 -1.7235
P -3.6447 -0.6492 -0.0249
Tm -1.3508 -1.9340 0.7659
Tm -3.4229 -1.7857 -2.5144
```

=====

(ii)
Material: TmInPO
Method: DFT, PBE-GGA
State: relaxed

## Properties
SG = P4/nmm, No. 129

Geometry as extended XYZ:
```
8
Lattice="4.3052 0.0000 0.0000 0.0000 4.3052 0.0000 0.0000 0.0000 8.1764" Properties=species:S:1:pos:R:3 pbc="T T T"
In 0.0000 0.0000 4.0882
In 2.1526 2.1526 4.0882
O 0.0000 0.0000 0.0000
O 2.1526 2.1526 0.0000
P 2.1526 0.0000 2.4824
P 0.0000 2.1526 5.6940
Tm 0.0000 2.1526 0.7562
Tm 2.1526 0.0000 7.4202
```

=====

It turns out (ii) is the most stable, with the second structure 16.2 kJ/mol of atoms higher.

=====

(i)
Material: TmInPO
Method: DFT, PBE-GGA
State: relaxed

## Properties
SG = Pmc2_1, No. 26

Geometry as extended XYZ:
```
8
Lattice="4.6096 0.0000 0.0000 0.0000 6.2617 0.0000 0.0000 0.0000 6.2919" Properties=species:S:1:pos:R:3 pbc="T T T"
In 0.0000 4.4967 2.8515
In 0.0000 1.7650 5.9975
O 2.3048 5.3770 2.4055
O 2.3048 0.8848 5.5515
P 0.0000 1.9104 2.3432
P 0.0000 4.3514 5.4891
Tm 2.3048 5.3217 0.2899
Tm 2.3048 0.9400 3.4359
```

=====

(ii)
Material: TmInPO
Method: DFT, PBE-GGA
State: relaxed

## Properties
SG = P4/nmm, No. 129

Geometry as extended XYZ:
```
8
Lattice="-4.3503 -1.1935 0.5104 1.2870 -4.1983 1.1522 0.2837 2.0949 7.3163" Properties=species:S:1:pos:R:3 pbc="T T T"
In -0.7390 -1.1497 1.1081
In -2.0406 -2.1472 7.8708
O -2.9409 -1.9447 0.6709
O -0.1223 -3.4471 0.9918
P -2.2089 -3.3898 3.5312
P -0.5707 0.0929 5.4478
Tm -2.7991 -0.8973 4.3290
Tm 0.0195 -2.3997 4.6499
```

=====

It turns out (i) is the most stable, with the second structure 56.5 kJ/mol of atoms higher.

=====

(i)
Material: In2PdO4
Method: DFT, PBE-GGA
State: relaxed

## Properties
SG = P4/ncc, No. 130

Geometry as extended XYZ:
```
28
Lattice="-4.9048 2.4511 -2.0629 -3.3646 -0.8538 6.9853 2.6219 7.0331 2.1226" Properties=species:S:1:pos:R:3 pbc="T T T"
In -3.8092 2.9245 0.0538
In -3.5386 1.1452 5.6148
In -1.4670 2.6162 2.4373
In -5.1022 3.5416 3.8615
In -2.9977 6.3143 2.1520
In -1.7281 4.7886 5.6392
In 0.3434 6.2596 2.4616
In -4.2908 6.9314 5.9598
O -1.0303 0.4858 1.7325
O -5.1714 1.2828 4.2068
O -1.6607 2.7249 0.1620
O -6.9919 3.2199 5.1073
O -3.6155 2.8158 2.3291
O -1.6489 1.4670 4.3691
O -4.2458 5.0549 0.7585
O -3.4694 3.4041 5.2695
O -1.4149 4.8449 2.0965
O -5.5433 5.6451 4.5446
O 0.1430 5.0937 4.4178
O -2.7952 6.1959 4.3949
O -2.7972 7.4802 0.1958
O -3.2236 5.5241 7.2040
O -1.2394 7.7289 2.5172
O -0.4756 6.0749 7.0544
Pd -1.9564 -0.2900 3.3774
Pd -4.4088 0.9356 2.3459
Pd -0.8674 4.6051 0.1451
Pd -3.3198 5.8307 -0.8863
```

=====

(ii)
Material: In2PdO4
Method: DFT, PBE-GGA
State: relaxed

## Properties
SG = Pbca, No. 61

Geometry as extended XYZ:
```
28
Lattice="-0.3106 5.3024 -1.5250 -0.3895 -1.5421 -5.2825 -11.2812 -0.3888 0.9454" Properties=species:S:1:pos:R:3 pbc="T T T"
In -1.9782 2.5527 -0.6778
In -2.0194 -0.8399 -2.5650
In -4.1371 5.1348 -1.2724
In -4.1783 1.7422 -3.1596
In -7.8029 1.6292 -2.7025
In -7.8441 -1.7634 -4.5897
In -9.9618 4.2113 -3.2971
In -10.0030 0.8187 -5.1843
O -0.2099 0.3679 -2.0140
O -0.4565 0.4814 -4.9096
O -3.1374 3.5302 -2.3211
O -3.3254 2.6447 -4.9294
O -3.0263 0.8775 -1.5549
O -3.2143 -0.0080 -4.1632
O -5.9493 2.8266 -2.3085
O -6.1959 2.9401 -5.2042
O -5.7854 0.4313 -0.6579
O -6.0319 0.5448 -3.5536
O -8.7669 3.3795 -1.6989
O -8.9550 2.4939 -4.3072
O -8.6558 0.7268 -0.9327
O -8.8439 -0.1588 -3.5410
O -11.5248 2.8900 -0.9525
O -11.7713 3.0035 -3.8481
Pd 0.0000 0.0000 0.0000
Pd -0.3500 1.8801 -3.4037
Pd -5.7959 2.4568 -0.2898
Pd -5.8353 -0.9655 -2.1686
```

=====

It turns out (i) is the most stable, with the second structure 3.4 kJ/mol of atoms higher.

=====

(i)
Material: Pr2In2O5
Method: DFT, PBE-GGA
State: relaxed

## Properties
SG = P4/mmm, No. 123

Geometry as extended XYZ:
```
9
Lattice="7.2171 0.0000 0.0000 0.0000 4.2157 0.0000 0.0000 0.0000 4.2157" Properties=species:S:1:pos:R:3 pbc="T T T"
In 1.4746 2.1078 2.1078
In 5.7425 2.1078 2.1078
O 1.7314 2.1078 0.0000
O 5.4857 2.1078 0.0000
O 1.7314 0.0000 2.1078
O 5.4857 0.0000 2.1078
O 3.6085 2.1078 2.1078
Pr 0.0000 0.0000 0.0000
Pr 3.6085 0.0000 0.0000
```

=====

(ii)
Material: Pr2In2O5
Method: DFT, PBE-GGA
State: relaxed

## Properties
SG = P4/mmm, No. 123

Geometry as extended XYZ:
```
9
Lattice="-5.3033 4.3453 -5.9932 -3.0016 0.3321 2.8969 1.6009 3.6625 1.2389" Properties=species:S:1:pos:R:3 pbc="T T T"
In 0.0000 0.0000 0.0000
In -2.6517 2.1727 -2.9966
O -2.2699 0.7962 0.5793
O -6.0350 3.8812 -3.6757
O 0.0314 2.4614 -0.2497
O -3.7338 5.5464 -4.5047
O -3.3520 4.1700 -0.9288
Pr -1.9987 3.0612 0.6006
Pr -4.7053 5.2788 -2.4581
```

=====

It turns out (ii) is the most stable, with the second structure 3.0 kJ/mol of atoms higher.